A relaxed structure of Dy2AlRe3. Source: OQMD, functional PBE.

The space group is P6_3/mmc (No. 194) and the conventional cell measures 5.3434, 5.3434 and 9.0514 Å, with angles of 90.00, 90.00 and 120.00 degrees. Symmetry generates all atoms from Dy at (0.3333, 0.6667, 0.0672), Al at (0.0000, 0.0000, 0.0000) and Re at (0.1702, 0.3405, 0.7500).

The calculation puts the volume at 111.9 Å³/f.u. The electronic total energy comes out at -8.68 eV per atom.